24
Lattice="4.496 -2.583 0.000 4.496 2.583 0.000 -3.057 0.000 12.970" Properties=species:S:1:pos:R:3 comment="Nb2Co3W4C3 | OQMD | PBE-GGA | optimized geometry" m_tot_mub_per_fu=0.05 vol_a3_per_fu=150.6 energy_ha_per_atom=-0.3719 spacegroup=C2/c pbc="T T T"
Nb 2.234 2.160 8.143
Nb 2.174 2.160 11.311
Nb 3.762 -2.160 1.659
Nb 3.702 -2.160 4.826
Co -0.049 0.820 9.748
Co 3.732 0.480 3.242
Co 1.479 -0.820 3.263
Co 4.457 0.820 9.706
Co 2.204 -0.480 9.727
Co 5.985 -0.820 3.221
W 2.212 0.416 1.158
W 2.234 0.477 5.323
W 0.683 -0.416 7.643
W 0.705 -0.477 11.808
W 5.231 0.477 1.162
W 5.253 0.416 5.326
W 3.702 -0.477 7.646
W 3.724 -0.416 11.811
C 0.720 1.292 6.485
C 0.729 1.360 12.965
C 3.679 1.360 6.489
C 2.248 -1.292 0.000
C 2.257 -1.360 6.481
C 5.207 -1.360 0.004